[1]
## Mg3Os (PBE)

Data for crystalline Mg3Os at its relaxed geometry.

Unit cell a=5.891 b=5.891 c=4.677 alpha=90.00 beta=90.00 gamma=120.00
Atoms (fractional coordinates):
Mg (0.176, 0.352, 0.750)
Mg (0.824, 0.176, 0.250)
Mg (0.648, 0.824, 0.750)
Mg (0.176, 0.824, 0.750)
Mg (0.352, 0.176, 0.250)
Mg (0.824, 0.648, 0.250)
Os (0.333, 0.667, 0.250)
Os (0.667, 0.333, 0.750)

## Properties
energy of formation from the pure elements = 0.17 eV per atom

=====

[2]
## FeTcPb2 (PBE)

Data for crystalline FeTcPb2 at its relaxed geometry.

Unit cell a=3.498 b=5.305 c=4.364 alpha=90.00 beta=90.00 gamma=90.00
Atoms (fractional coordinates):
Fe (0.000, 0.500, 0.500)
Tc (0.500, 0.000, 0.500)
Pb (0.500, 0.500, 0.000)
Pb (0.000, 0.000, 0.000)

## Properties
energy of formation from the pure elements = 0.83 eV per atom
excess energy over the best structure of this formula in the dataset = 487 meV/atom

=====

[3]
## LaAgIr (PBE)

Data for crystalline LaAgIr at its relaxed geometry.

Unit cell a=3.049 b=3.049 c=7.659 alpha=90.00 beta=90.00 gamma=120.00
Atoms (fractional coordinates):
Ag (0.000, 0.000, 0.026)
La (0.667, 0.333, 0.643)
Ir (0.333, 0.667, 0.330)

## Properties
energy of formation from the pure elements = 0.31 eV per atom
excess energy over the best structure of this formula in the dataset = 729 meV/atom

=====

[4]
## CeNdGa2Ir2 (PBE)

Data for crystalline CeNdGa2Ir2 at its relaxed geometry.

Unit cell a=4.422 b=4.422 c=7.387 alpha=90.00 beta=90.00 gamma=120.00
Atoms (fractional coordinates):
Ce (0.000, 0.000, 0.500)
Ga (0.667, 0.333, 0.743)
Ga (0.333, 0.667, 0.257)
Ir (0.667, 0.333, 0.270)
Ir (0.333, 0.667, 0.730)
Nd (0.000, 0.000, 0.000)

## Properties
energy of formation from the pure elements = -0.75 eV per atom

=====

[5]
## CsNa2BrCl2 (PBE)

Data for crystalline CsNa2BrCl2 at its relaxed geometry.

Unit cell a=6.961 b=6.799 c=11.018 alpha=104.56 beta=90.00 gamma=90.00
Atoms (fractional coordinates):
Cl (0.250, 0.128, 0.347)
Cl (0.750, 0.427, 0.294)
Cl (0.250, 0.573, 0.706)
Cl (0.750, 0.872, 0.653)
Na (0.005, 0.853, 0.830)
Na (0.505, 0.147, 0.170)
Na (0.495, 0.853, 0.830)
Na (0.995, 0.147, 0.170)
Cs (0.250, 0.665, 0.416)
Cs (0.750, 0.335, 0.584)
Br (0.250, 0.172, 0.969)
Br (0.750, 0.828, 0.031)

## Properties
total energy = -3.1521 eV per atom

=====

[6]
## ScTi3Si (PBE)

Data for crystalline ScTi3Si at its relaxed geometry.

Unit cell a=4.695 b=4.695 c=4.695 alpha=90.00 beta=90.00 gamma=90.00
Atoms (fractional coordinates):
Ti (0.500, 0.000, 0.000)
Ti (0.000, 0.000, 0.500)
Ti (0.000, 0.500, 0.000)
Si (0.000, 0.000, 0.000)
Sc (0.500, 0.500, 0.500)

## Properties
excess energy over the best structure of this formula in the dataset = 0 meV/atom

=====

[7]
## PuSnIr (PBE)

Data for crystalline PuSnIr at its relaxed geometry.

Unit cell a=4.204 b=7.445 c=8.684 alpha=90.00 beta=90.00 gamma=90.00
Atoms (fractional coordinates):
Sn (0.000, 0.817, 0.702)
Sn (0.500, 0.183, 0.202)
Sn (0.500, 0.449, 0.729)
Sn (0.000, 0.551, 0.229)
Pu (0.000, 0.180, 0.926)
Pu (0.000, 0.205, 0.504)
Pu (0.500, 0.795, 0.004)
Pu (0.500, 0.820, 0.426)
Ir (0.500, 0.448, 0.417)
Ir (0.000, 0.932, 0.222)
Ir (0.000, 0.552, 0.917)
Ir (0.500, 0.068, 0.722)

## Properties
energy of formation from the pure elements = -0.43 eV per atom

=====

[8]
## CeSc2Sb (PBE)

Data for crystalline CeSc2Sb at its relaxed geometry.

Unit cell a=3.743 b=3.743 c=6.946 alpha=90.00 beta=90.00 gamma=90.00
Atoms (fractional coordinates):
Ce (0.500, 0.500, 0.000)
Sc (0.000, 0.000, 0.722)
Sc (0.000, 0.000, 0.278)
Sb (0.500, 0.500, 0.500)

## Properties
excess energy over the best structure of this formula in the dataset = 82 meV/atom